Density functional theory data (SCAN) for a PBEsol-optimized structure of Na2CoPCO7.

Properties
formation energy (no corrections) = -2005 meV/atom
crystal system = monoclinic

a = 5.075 Å, b = 6.247 Å, c = 8.836 Å
α = 90.00°, β = 92.09°, γ = 90.00°
Space group P2_1/m (No. 11)
Inequivalent atoms, fractional coordinates:
Na  0.240  0.015  0.256 (multiplicity 4)
Co  0.213  0.250  0.845 (multiplicity 2)
P  0.284  0.750  0.927 (multiplicity 2)
C  0.279  0.250  0.585 (multiplicity 2)
O  0.049  0.250  0.648 (multiplicity 2)
O  0.138  0.750  0.077 (multiplicity 2)
O  0.206  0.555  0.826 (multiplicity 4)
O  0.316  0.250  0.447 (multiplicity 2)
O  0.412  0.250  0.038 (multiplicity 2)
O  0.467  0.250  0.692 (multiplicity 2)